## Nd2HoVO6 (PBE+U)

Data for Nd2HoVO6 after structural relaxation.

VASP energy in eV/atom: -8.22
Symmetry: P2_1/c, No. 14
Theoretical density in Mg/m³: 7.301

Unit cell a=5.6416 b=5.8876 c=9.9049 alpha=90.00 beta=123.90 gamma=90.00
Sites, in units of the cell vectors:
Nd (0.2305, 0.0585, 0.2496)
Nd (0.2305, 0.4415, 0.7496)
Nd (0.7695, 0.5585, 0.2504)
Nd (0.7695, 0.9415, 0.7504)
Ho (0.5000, 0.0000, 0.0000)
Ho (0.5000, 0.5000, 0.5000)
V (0.0000, 0.0000, 0.5000)
V (0.0000, 0.5000, 0.0000)
O (0.1200, 0.2087, 0.9357)
O (0.1200, 0.2913, 0.4357)
O (0.2303, 0.6900, 0.9387)
O (0.2303, 0.8100, 0.4387)
O (0.3602, 0.0484, 0.7401)
O (0.3602, 0.4516, 0.2401)
O (0.6398, 0.5484, 0.7599)
O (0.6398, 0.9516, 0.2599)
O (0.7697, 0.1900, 0.5613)
O (0.7697, 0.3100, 0.0613)
O (0.8800, 0.7087, 0.5643)
O (0.8800, 0.7913, 0.0643)